Entry 1:
The following is a DFT calculation (PBE-GGA) of a relaxed structure of CePOs.

Lattice parameters (Å, degrees): 3.0489 3.0489 6.0707 104.54 104.54 90.00
With the nearest neighbours (Å) after each atom.
Fractional positions:
P (0.6986, 0.6986, 0.3972)  4 Os 2.43
Os (0.2978, 0.2978, 0.5956)  4 P 2.43
Ce (0.0036, 0.0036, 0.0072)  4 Ce 3.05, 4 P 3.09, 5 Os 3.18-3.34

Properties
- ΔE_f (kJ/mol of formula units) = -128


Entry 2:
The following is a DFT calculation (PBE-GGA) of a relaxed structure of MnBe2Os.

Lattice parameters (Å, degrees): 3.9124 3.9125 3.9124 120.16 120.16 89.72
With the nearest neighbours (Å) after each atom.
Fractional positions:
Be (0.0000, 0.0000, 0.0000)  4 Os 2.39, 4 Be 2.39
Be (0.2500, 0.7500, 0.5000)  4 Be 2.39, 4 Mn 2.39
Mn (0.5000, 0.5000, 0.0000)  4 Be 2.39, 4 Os 2.39
Os (0.7500, 0.2500, 0.5000)  4 Mn 2.39, 4 Be 2.39

Properties
- ΔE_f (kJ/mol of formula units) = -45


Entry 3:
The following is a DFT calculation (PBE-GGA) of a relaxed structure of Er4PuSi4.

Lattice parameters (Å, degrees): 5.6874 8.8978 8.8978 90.00 90.00 90.00
With the nearest neighbours (Å) after each atom.
Fractional positions:
Er (0.3748, 0.3231, 0.9098)  5 Si 2.84-3.04
Er (0.8748, 0.5902, 0.8231)  5 Si 2.84-3.04
Er (0.3748, 0.6769, 0.0902)  5 Si 2.84-3.04
Er (0.1252, 0.1769, 0.5902)  5 Si 2.84-3.04
Er (0.6252, 0.9098, 0.6769)  5 Si 2.84-3.04
Er (0.1252, 0.8231, 0.4098)  5 Si 2.84-3.04
Er (0.8748, 0.4098, 0.1769)  5 Si 2.84-3.04
Er (0.6252, 0.0902, 0.3231)  5 Si 2.84-3.04
Pu (0.0000, 0.0000, 0.0000)  4 Si 2.81
Pu (0.5000, 0.5000, 0.5000)  4 Si 2.81
Si (0.6281, 0.7732, 0.3641)  1 Si 2.49
Si (0.6281, 0.2268, 0.6359)  1 Si 2.49
Si (0.1281, 0.8641, 0.7268)  1 Si 2.49
Si (0.8719, 0.2732, 0.8641)  1 Si 2.49
Si (0.8719, 0.7268, 0.1359)  1 Si 2.49
Si (0.3719, 0.3641, 0.2268)  1 Si 2.49
Si (0.3719, 0.6359, 0.7732)  1 Si 2.49
Si (0.1281, 0.1359, 0.2732)  1 Si 2.49

Properties
- ΔE_f (raw) (eV per atom) = -0.39


Entry 4:
The following is a DFT calculation (PBE-GGA) of a relaxed structure of BaCuTc.

Lattice parameters (Å, degrees): 4.8826 4.8826 4.8826 60.00 60.00 60.00
With the nearest neighbours (Å) after each atom.
Fractional positions:
Ba (0.5000, 0.5000, 0.5000)  4 Cu 2.99
Cu (0.2500, 0.2500, 0.2500)  4 Ba 2.99, 4 Tc 2.99
Tc (0.0000, 0.0000, 0.0000)  4 Cu 2.99

Properties
- ΔE_f (kJ/mol of formula units) = 346
- energy relative to the lowest polymorph listed for this composition (meV/atom) = 479


Entry 5:
The following is a DFT calculation (PBE-GGA) of a relaxed structure of ScTiTe3.

Lattice parameters (Å, degrees): 6.9516 7.0387 6.9994 80.06 69.53 60.41
With the nearest neighbours (Å) after each atom.
Fractional positions:
Sc (0.1655, 0.6690, 0.0000)  6 Te 2.90-2.91
Sc (0.8345, 0.3310, 0.0000)  6 Te 2.90-2.91
Ti (0.3310, 0.3380, 0.5000)  6 Te 2.82
Ti (0.6690, 0.6620, 0.5000)  6 Te 2.82
Te (0.7389, 0.0000, 0.2589)  2 Ti 2.82, 2 Sc 2.90
Te (0.2611, 0.0000, 0.7411)  2 Ti 2.82, 2 Sc 2.90
Te (0.0833, 0.3287, 0.2598)  2 Ti 2.82, 2 Sc 2.91
Te (0.5880, 0.3287, 0.7402)  2 Ti 2.82, 2 Sc 2.91
Te (0.9167, 0.6713, 0.7402)  2 Ti 2.82, 2 Sc 2.91
Te (0.4120, 0.6713, 0.2598)  2 Ti 2.82, 2 Sc 2.91

Properties
- ΔE_f (raw) (eV per atom) = -0.88
- energy relative to the lowest polymorph listed for this composition (meV/atom) = 0


Entry 6:
The following is a DFT calculation (PBE-GGA) of a relaxed structure of Y2AlFeH.

Lattice parameters (Å, degrees): 4.9267 4.9267 3.6293 90.00 90.00 90.00
With the nearest neighbours (Å) after each atom.
Fractional positions:
Y (0.0000, 0.5000, 0.0000)  2 H 2.46
Y (0.5000, 0.0000, 0.0000)  2 H 2.46
H (0.0000, 0.0000, 0.0000)  2 Fe 1.81
Fe (0.0000, 0.0000, 0.5000)  2 H 1.81
Al (0.5000, 0.5000, 0.5000)  8 Y 3.06

Properties
- energy relative to the lowest polymorph listed for this composition (meV/atom) = 0


Entry 7:
The following is a DFT calculation (PBE-GGA) of a relaxed structure of Be2TcAu.

Lattice parameters (Å, degrees): 6.1720 6.1720 5.1581 53.25 53.25 90.00
With the nearest neighbours (Å) after each atom.
Fractional positions:
Be (0.6274, 0.1250, 0.2500)  2 Au 2.28, 2 Tc 2.30
Be (0.1226, 0.6250, 0.2500)  2 Au 2.28, 2 Tc 2.30
Be (0.3750, 0.3726, 0.7500)  2 Au 2.28, 2 Tc 2.30
Be (0.8750, 0.8774, 0.7500)  2 Au 2.28, 2 Tc 2.30
Au (0.0000, 0.0000, 0.0000)  4 Be 2.28
Au (0.7500, 0.2500, 0.5000)  4 Be 2.28
Tc (0.5000, 0.5000, 0.0000)  4 Be 2.30
Tc (0.2500, 0.7500, 0.5000)  4 Be 2.30

Properties
- ΔE_f (kJ/mol of formula units) = 141
- energy relative to the lowest polymorph listed for this composition (meV/atom) = 476


Entry 8:
The following is a DFT calculation (PBE-GGA) of a relaxed structure of Dy2TmZn2In2.

Lattice parameters (Å, degrees): 4.6920 4.6920 9.3959 75.54 75.54 60.00
With the nearest neighbours (Å) after each atom.
Fractional positions:
Dy (0.1270, 0.1270, 0.6190)  3 In 3.12, 3 Zn 3.25, 1 Tm 3.43, 3 Dy 3.45
Dy (0.8730, 0.8730, 0.3810)  3 In 3.12, 3 Zn 3.25, 1 Tm 3.43, 3 Dy 3.45
Tm (0.0000, 0.0000, 0.0000)  6 Zn 3.16, 6 In 3.29, 2 Dy 3.43
Zn (0.6063, 0.6063, 0.1810)  3 In 2.72
Zn (0.3937, 0.3937, 0.8190)  3 In 2.72
In (0.7360, 0.7360, 0.7921)  3 Zn 2.72
In (0.2640, 0.2640, 0.2079)  3 Zn 2.72

Properties
- ΔE_f (kJ/mol of formula units) = -175


Entry 9:
The following is a DFT calculation (PBE-GGA) of a relaxed structure of Na2Hf2PaSe6.

Lattice parameters (Å, degrees): 6.7027 6.7027 7.6142 98.27 98.27 120.31
With the nearest neighbours (Å) after each atom.
Fractional positions:
Na (0.8376, 0.1624, 0.0000)  6 Se 2.97-3.02
Na (0.1624, 0.8376, 0.0000)  6 Se 2.97-3.02
Hf (0.3325, 0.6675, 0.5000)  6 Se 2.73
Hf (0.6675, 0.3325, 0.5000)  6 Se 2.73
Pa (0.0000, 0.0000, 0.5000)  6 Se 2.84-2.85
Se (0.7233, 0.7233, 0.7239)  2 Hf 2.73, 1 Pa 2.85, 2 Na 3.02
Se (0.0749, 0.4206, 0.7249)  2 Hf 2.73, 1 Pa 2.84, 2 Na 2.97-3.02
Se (0.2767, 0.2767, 0.2761)  2 Hf 2.73, 1 Pa 2.85, 2 Na 3.02
Se (0.4206, 0.0749, 0.7249)  2 Hf 2.73, 1 Pa 2.84, 2 Na 2.97-3.02
Se (0.9251, 0.5794, 0.2751)  2 Hf 2.73, 1 Pa 2.84, 2 Na 2.97-3.02
Se (0.5794, 0.9251, 0.2751)  2 Hf 2.73, 1 Pa 2.84, 2 Na 2.97-3.02

Properties
- ΔE_f (raw) (eV per atom) = -1.30


Entry 10:
The following is a DFT calculation (PBE-GGA) of a relaxed structure of AgWC3.

Lattice parameters (Å, degrees): 4.1283 4.1283 4.1283 90.00 90.00 90.00
With the nearest neighbours (Å) after each atom.
Fractional positions:
C (0.0000, 0.5000, 0.0000)  2 W 2.06
C (0.0000, 0.0000, 0.5000)  2 W 2.06
C (0.5000, 0.0000, 0.0000)  2 W 2.06
Ag (0.5000, 0.5000, 0.5000)  12 C 2.92
W (0.0000, 0.0000, 0.0000)  6 C 2.06

Properties
- ΔE_f (kJ/mol of formula units) = 897
- energy relative to the lowest polymorph listed for this composition (meV/atom) = 0


Entry 11:
The following is a DFT calculation (PBE-GGA) of a relaxed structure of Ac2Ti2N5.

Lattice parameters (Å, degrees): 4.0833 6.0975 6.2109 106.14 90.00 109.56
With the nearest neighbours (Å) after each atom.
Fractional positions:
Ac (0.3966, 0.7931, 0.6744)  6 N 2.57-2.87
Ac (0.6034, 0.2069, 0.3256)  6 N 2.57-2.87
Ti (0.1599, 0.3197, 0.8898)  2 N 1.86-1.97
Ti (0.8401, 0.6803, 0.1102)  2 N 1.86-1.97
N (0.3367, 0.6734, 0.0418)  3 Ti 1.97-2.08
N (0.6633, 0.3266, 0.9582)  3 Ti 1.97-2.08
N (0.1561, 0.3122, 0.5885)  1 Ti 1.86
N (0.8439, 0.6878, 0.4115)  1 Ti 1.86
N (0.0000, 0.0000, 0.0000)  2 Ti 2.14

Properties
- ΔE_f (raw) (eV per atom) = -1.21
- energy relative to the lowest polymorph listed for this composition (meV/atom) = 56


Entry 12:
The following is a DFT calculation (PBE-GGA) of a relaxed structure of PrTm2Te4.

Lattice parameters (Å, degrees): 4.2879 7.4493 14.8997 90.00 90.00 106.73
With the nearest neighbours (Å) after each atom.
Fractional positions:
Pr (0.6247, 0.2493, 0.7500)  6 Te 3.22-3.25
Pr (0.3753, 0.7507, 0.2500)  6 Te 3.22-3.25
Tm (0.1313, 0.2626, 0.4324)  6 Te 2.99-3.08
Tm (0.8687, 0.7374, 0.9324)  6 Te 2.99-3.08
Tm (0.1313, 0.2626, 0.0676)  6 Te 2.99-3.08
Tm (0.8687, 0.7374, 0.5676)  6 Te 2.99-3.08
Te (0.7740, 0.5481, 0.1182)  3 Tm 3.05-3.08, 2 Pr 3.25
Te (0.7740, 0.5481, 0.3818)  3 Tm 3.05-3.08, 2 Pr 3.25
Te (0.2260, 0.4519, 0.8818)  3 Tm 3.05-3.08, 2 Pr 3.25
Te (0.2260, 0.4519, 0.6182)  3 Tm 3.05-3.08, 2 Pr 3.25
Te (0.9567, 0.9134, 0.7500)  2 Tm 2.99, 2 Pr 3.22
Te (0.0433, 0.0866, 0.2500)  2 Tm 2.99, 2 Pr 3.22
Te (0.5000, 0.0000, 0.0000)  4 Tm 3.02
Te (0.5000, 0.0000, 0.5000)  4 Tm 3.02

Properties
- ΔE_f (raw) (eV per atom) = -1.36
- energy relative to the lowest polymorph listed for this composition (meV/atom) = 40